1.
VASP calculation (GGA-PBE) on a geometry-optimized LiPbAu4 structure.

```
6
Lattice="0.000 3.976 3.976 3.976 0.000 3.976 3.976 3.976 0.000" Properties=species:S:1:pos:R:3 pbc="T T T"
Li 0.000 0.000 0.000
Pb 5.964 5.964 5.964
Au 2.978 2.978 2.978
Au 4.975 4.975 2.978
Au 4.975 2.978 4.975
Au 2.978 4.975 4.975
```

Computed properties:
The formation energy comes out at -0.171 eV per atom. The calculation puts the total magnetization at 0.00 μB/atom. The value obtained for the energy is -3.29 eV per atom. As for the symmetry: No. 216. For the distance to the lowest polymorph of the same formula, the calculation gives 0 meV per atom.

2.
VASP calculation (GGA-PBE) on a geometry-optimized Sm3Ho4Sn4 structure.

```
11
Lattice="-2.116 4.642 8.491 2.116 -4.642 8.491 2.116 4.642 -8.491" Properties=species:S:1:pos:R:3 pbc="T T T"
Sm 0.000 0.000 0.000
Sm 2.116 0.000 6.673
Sm 0.000 4.642 1.818
Ho 2.116 1.804 -2.905
Ho 2.116 1.804 2.905
Ho 0.000 2.839 5.586
Ho 0.000 2.839 11.396
Sn 0.000 0.000 4.238
Sn 2.116 2.670 0.000
Sn 0.000 1.973 8.491
Sn 0.000 0.000 12.744
```

Computed properties:
The formation energy comes out at -0.537 eV per atom. The calculation puts the total magnetization at 0.25 μB/atom. The value obtained for the energy is -4.94 eV per atom. As for the symmetry: No. 71.

3.
VASP calculation (GGA-PBE) on a geometry-optimized Mn2AgSe structure.

```
4
Lattice="3.874 0.000 0.000 0.000 3.719 0.000 -1.400 0.000 5.204" Properties=species:S:1:pos:R:3 pbc="T T T"
Mn 0.000 0.000 0.000
Mn 1.237 1.859 2.602
Ag -0.700 0.000 2.602
Se 1.937 1.859 0.000
```

Computed properties:
The calculation puts the total magnetization at 2.07 μB/atom. The value obtained for the energy is -5.90 eV per atom. As for the symmetry: No. 10. The calculation puts the energy relative to the elements, uncorrected at 0.265 eV/atom.

4.
VASP calculation (GGA-PBE) on a geometry-optimized YCuH8Ir2 structure.

```
12
Lattice="4.080 -2.206 0.000 4.080 2.206 0.000 -2.507 0.000 5.497" Properties=species:S:1:pos:R:3 pbc="T T T"
Y 0.000 0.000 0.000
Cu 2.827 0.000 2.749
H 2.249 1.095 0.999
H 1.110 0.000 2.190
H 3.406 1.095 4.499
H 1.404 0.000 4.588
H 4.250 0.000 0.909
H 2.249 -1.095 0.999
H 4.545 0.000 3.307
H 3.406 -1.095 4.499
Ir 0.091 0.000 3.574
Ir 5.563 0.000 1.924
```

Computed properties:
The calculation puts the total magnetization at 0.00 μB/atom. The value obtained for the energy is -4.75 eV per atom. As for the symmetry: No. 12.

5.
VASP calculation (GGA-PBE) on a geometry-optimized CoPt6Rh3 structure.

```
20
Lattice="5.445 0.000 0.000 0.000 4.302 0.000 -1.477 0.000 12.830" Properties=species:S:1:pos:R:3 pbc="T T T"
Co 0.622 1.075 5.612
Co 3.346 3.226 7.218
Pt -0.761 3.226 9.554
Pt 0.639 3.226 2.054
Pt 0.614 3.226 7.139
Pt 0.611 1.075 10.696
Pt 2.026 1.075 0.599
Pt 1.987 3.226 4.788
Pt 1.981 1.075 8.042
Pt 1.942 3.226 12.231
Pt 3.357 3.226 2.135
Pt 3.353 1.075 5.692
Pt 3.329 1.075 10.776
Pt 4.729 1.075 3.276
Rh -0.743 1.075 8.016
Rh -0.802 3.226 12.199
Rh 1.988 1.075 3.244
Rh 1.980 3.226 9.587
Rh 4.770 1.075 0.631
Rh 4.711 3.226 4.814
```

Computed properties:
The formation energy comes out at 0.056 eV per atom. The calculation puts the total magnetization at 0.49 μB/atom. The value obtained for the energy is -6.48 eV per atom. As for the symmetry: No. 11.

6.
VASP calculation (GGA-PBE) on a geometry-optimized InFeCuRh structure.

```
4
Lattice="0.000 3.104 3.104 3.104 0.000 3.104 3.104 3.104 0.000" Properties=species:S:1:pos:R:3 pbc="T T T"
In 0.000 0.000 0.000
Fe 3.104 3.104 3.104
Cu 1.552 1.552 1.552
Rh 4.656 4.656 4.656
```

Computed properties:
The formation energy comes out at -0.008 eV per atom. The calculation puts the total magnetization at 0.77 μB/atom. The value obtained for the energy is -5.67 eV per atom. As for the symmetry: No. 216.

Look up the energy of the sixth one. -5.67 eV per atom

What did the fourth record say?
VASP calculation (GGA-PBE) on a geometry-optimized YCuH8Ir2 structure.

```
12
Lattice="4.080 -2.206 0.000 4.080 2.206 0.000 -2.507 0.000 5.497" Properties=species:S:1:pos:R:3 pbc="T T T"
Y 0.000 0.000 0.000
Cu 2.827 0.000 2.749
H 2.249 1.095 0.999
H 1.110 0.000 2.190
H 3.406 1.095 4.499
H 1.404 0.000 4.588
H 4.250 0.000 0.909
H 2.249 -1.095 0.999
H 4.545 0.000 3.307
H 3.406 -1.095 4.499
Ir 0.091 0.000 3.574
Ir 5.563 0.000 1.924
```

Computed properties:
The calculation puts the total magnetization at 0.00 μB/atom. The value obtained for the energy is -4.75 eV per atom. As for the symmetry: No. 12.

Which of these has the lowest energy? CoPt6Rh3

Which value of energy does entry 4 give? -4.75 eV per atom